Entry i
The following is a DFT calculation (GGA-PBE) of a geometry-optimized CsBe3W structure.

Unit cell a=4.5562 b=4.5562 c=4.5562 alpha=90.00 beta=90.00 gamma=90.00
Closest atoms and distances in Å follow each position.
Element x y z (fractional)
Be 0.0000 0.5000 0.0000  2 Cs 2.28
Be 0.5000 0.0000 0.0000  2 Cs 2.28
W 0.5000 0.5000 0.5000  12 Be 3.22
Cs 0.0000 0.0000 0.0000  6 Be 2.28
Be 0.0000 0.0000 0.5000  2 Cs 2.28

Computed properties:
crystal system: cubic
space-group type: Pm-3m, No. 221
total moment: 0.0 μB per formula unit

=====

Entry ii
The following is a DFT calculation (GGA-PBE) of a geometry-optimized CsBe3W structure.

Unit cell a=4.8366 b=4.8366 c=4.8366 alpha=90.00 beta=90.00 gamma=90.00
Closest atoms and distances in Å follow each position.
Element x y z (fractional)
Be 0.5000 0.0000 0.0000  2 W 2.42
W 0.0000 0.0000 0.0000  6 Be 2.42
Cs 0.5000 0.5000 0.5000  12 Be 3.42
Be 0.0000 0.5000 0.0000  2 W 2.42
Be 0.0000 0.0000 0.5000  2 W 2.42

Computed properties:
crystal system: cubic
space-group type: Pm-3m, No. 221
total moment: 1.6 μB per formula unit

=====

Decreasing stability: entry ii, entry i

=====

Entry i
The following is a DFT calculation (GGA-PBE) of a geometry-optimized CsYBe3 structure.

Unit cell a=5.5792 b=5.5792 c=5.5792 alpha=90.00 beta=90.00 gamma=90.00
Closest atoms and distances in Å follow each position.
Element x y z (fractional)
Be 0.0000 0.0000 0.5000  2 Y 2.79
Cs 0.5000 0.5000 0.5000  12 Be 3.95
Be 0.5000 0.0000 0.0000  2 Y 2.79
Y 0.0000 0.0000 0.0000  6 Be 2.79
Be 0.0000 0.5000 0.0000  2 Y 2.79

Computed properties:
crystal system: cubic
space-group type: Pm-3m, No. 221
total moment: 0.0 μB per formula unit

=====

Entry ii
The following is a DFT calculation (GGA-PBE) of a geometry-optimized CsYBe3 structure.

Unit cell a=5.0643 b=5.0643 c=5.0643 alpha=90.00 beta=90.00 gamma=90.00
Closest atoms and distances in Å follow each position.
Element x y z (fractional)
Be 0.5000 0.0000 0.0000  2 Cs 2.53
Be 0.0000 0.5000 0.0000  2 Cs 2.53
Y 0.5000 0.5000 0.5000  12 Be 3.58
Be 0.0000 0.0000 0.5000  2 Cs 2.53
Cs 0.0000 0.0000 0.0000  6 Be 2.53

Computed properties:
crystal system: cubic
space-group type: Pm-3m, No. 221
total moment: 0.0 μB per formula unit

=====

Decreasing stability: entry i, entry ii

=====

Entry i
The following is a DFT calculation (GGA-PBE) of a geometry-optimized CsY2Be2 structure.

Unit cell a=8.5314 b=8.5314 c=3.4985 alpha=90.00 beta=90.00 gamma=90.00
Closest atoms and distances in Å follow each position.
Element x y z (fractional)
Y 0.3624 0.8624 0.0000  6 Be 2.98-3.16, 2 Cs 3.31, 1 Y 3.32
Be 0.8555 0.3555 0.5000  6 Y 2.98-3.16
Y 0.1376 0.3624 0.0000  6 Be 2.98-3.16, 2 Cs 3.31, 1 Y 3.32
Be 0.1445 0.6445 0.5000  6 Y 2.98-3.16
Cs 0.0000 0.0000 0.0000  4 Y 3.31, 2 Cs 3.50
Y 0.8624 0.6376 0.0000  6 Be 2.98-3.16, 2 Cs 3.31, 1 Y 3.32
Be 0.3555 0.1445 0.5000  6 Y 2.98-3.16
Cs 0.5000 0.5000 0.0000  4 Y 3.31, 2 Cs 3.50
Be 0.6445 0.8555 0.5000  6 Y 2.98-3.16
Y 0.6376 0.1376 0.0000  6 Be 2.98-3.16, 2 Cs 3.31, 1 Y 3.32

Computed properties:
crystal system: tetragonal
space-group type: P4/mbm, No. 127
total moment: 0.0 μB per formula unit

=====

Entry ii
The following is a DFT calculation (GGA-PBE) of a geometry-optimized CsY2Be2 structure.

Unit cell a=4.7383 b=4.7383 c=7.5333 alpha=71.67 beta=71.67 gamma=90.00
Closest atoms and distances in Å follow each position.
Element x y z (fractional)
Y 0.6531 0.6531 0.6938  4 Be 2.71
Be 0.7500 0.2500 0.5000  4 Y 2.71
Y 0.3469 0.3469 0.3062  4 Be 2.71
Be 0.2500 0.7500 0.5000  4 Y 2.71
Cs 0.0000 0.0000 0.0000  8 Y 3.94, 8 Be 4.12

Computed properties:
crystal system: tetragonal
space-group type: I4/mmm, No. 139
total moment: 1.2 μB per formula unit

=====

Decreasing stability: entry i, entry ii

=====

Entry i
The following is a DFT calculation (GGA-PBE) of a geometry-optimized Cs2YBe structure.

Unit cell a=10.2678 b=10.2678 c=10.2678 alpha=93.87 beta=93.87 gamma=149.90
Closest atoms and distances in Å follow each position.
Element x y z (fractional)
Cs 0.1250 0.2882 0.6632  2 Be 3.77, 2 Y 4.22
Cs 0.7118 0.3750 0.8368  2 Be 3.77, 2 Y 4.22
Y 0.0000 0.0000 0.0000  2 Be 2.67
Y 0.2500 0.7500 0.5000  2 Be 2.67
Cs 0.6250 0.4618 0.3368  2 Be 3.77, 2 Y 4.22
Cs 0.5382 0.8750 0.1632  2 Be 3.77, 2 Y 4.22
Be 0.7500 0.2500 0.5000  2 Y 2.67
Be 0.5000 0.5000 0.0000  2 Y 2.67

Computed properties:
crystal system: tetragonal
space-group type: I-42d, No. 122
total moment: 0.0 μB per formula unit

=====

Entry ii
The following is a DFT calculation (GGA-PBE) of a geometry-optimized Cs2YBe structure.

Unit cell a=6.5173 b=6.5173 c=6.5173 alpha=60.00 beta=60.00 gamma=60.00
Closest atoms and distances in Å follow each position.
Element x y z (fractional)
Y 0.5000 0.5000 0.5000  8 Cs 3.99
Be 0.0000 0.0000 0.0000  8 Cs 3.99
Cs 0.2500 0.2500 0.2500  4 Y 3.99, 4 Be 3.99
Cs 0.7500 0.7500 0.7500  4 Be 3.99, 4 Y 3.99

Computed properties:
crystal system: cubic
space-group type: Fm-3m, No. 225
total moment: 2.4 μB per formula unit

=====

Decreasing stability: entry i, entry ii

=====

Entry i
The following is a DFT calculation (GGA-PBE) of a geometry-optimized CsBeZn3 structure.

Unit cell a=4.8542 b=4.8542 c=4.8542 alpha=90.00 beta=90.00 gamma=90.00
Closest atoms and distances in Å follow each position.
Element x y z (fractional)
Zn 0.0000 0.5000 0.0000  2 Be 2.43
Be 0.0000 0.0000 0.0000  6 Zn 2.43
Cs 0.5000 0.5000 0.5000  12 Zn 3.43
Zn 0.5000 0.0000 0.0000  2 Be 2.43
Zn 0.0000 0.0000 0.5000  2 Be 2.43

Computed properties:
crystal system: cubic
space-group type: Pm-3m, No. 221
total moment: 0.0 μB per formula unit

=====

Entry ii
The following is a DFT calculation (GGA-PBE) of a geometry-optimized CsBeZn3 structure.

Unit cell a=6.9575 b=6.9575 c=6.9575 alpha=90.00 beta=90.00 gamma=90.00
Closest atoms and distances in Å follow each position.
Element x y z (fractional)
Cs 0.0000 0.0000 0.0000  6 Zn 3.48
Zn 0.5000 0.0000 0.0000  2 Cs 3.48
Be 0.5000 0.5000 0.5000  12 Zn 4.92
Zn 0.0000 0.0000 0.5000  2 Cs 3.48
Zn 0.0000 0.5000 0.0000  2 Cs 3.48

Computed properties:
crystal system: cubic
space-group type: Pm-3m, No. 221
total moment: 0.0 μB per formula unit

=====

Decreasing stability: entry i, entry ii

=====

Entry i
The following is a DFT calculation (GGA-PBE) of a geometry-optimized CsBe3Zn structure.

Unit cell a=7.1585 b=7.1585 c=7.1585 alpha=90.00 beta=90.00 gamma=90.00
Closest atoms and distances in Å follow each position.
Element x y z (fractional)
Be 0.0000 0.5000 0.0000  2 Cs 3.58
Zn 0.5000 0.5000 0.5000  12 Be 5.06
Cs 0.0000 0.0000 0.0000  6 Be 3.58
Be 0.0000 0.0000 0.5000  2 Cs 3.58
Be 0.5000 0.0000 0.0000  2 Cs 3.58

Computed properties:
crystal system: cubic
space-group type: Pm-3m, No. 221
total moment: 0.0 μB per formula unit

=====

Entry ii
The following is a DFT calculation (GGA-PBE) of a geometry-optimized CsBe3Zn structure.

Unit cell a=4.6287 b=4.6287 c=4.6287 alpha=90.00 beta=90.00 gamma=90.00
Closest atoms and distances in Å follow each position.
Element x y z (fractional)
Be 0.0000 0.5000 0.0000  2 Zn 2.31
Cs 0.5000 0.5000 0.5000  12 Be 3.27
Be 0.0000 0.0000 0.5000  2 Zn 2.31
Zn 0.0000 0.0000 0.0000  6 Be 2.31
Be 0.5000 0.0000 0.0000  2 Zn 2.31

Computed properties:
crystal system: cubic
space-group type: Pm-3m, No. 221
total moment: 0.0 μB per formula unit

=====

Decreasing stability: entry ii, entry i